a:
This record from the Open Quantum Materials Database describes a relaxed LaBeBPd crystal. The functional is PBE-GGA.

total magnetic moment = 0.0 μB/f.u.

Structure (extended XYZ):
```
16
Lattice="6.476 0.000 0.000 0.000 6.476 0.000 0.000 0.000 6.476" Properties=species:S:1:pos:R:3 pbc="T T T"
La 0.000 0.000 0.000
La 0.000 3.238 3.238
La 3.238 0.000 3.238
La 3.238 3.238 0.000
Be 0.000 0.000 3.238
Be 0.000 3.238 0.000
Be 3.238 0.000 0.000
Be 3.238 3.238 3.238
B 1.619 1.619 4.857
B 1.619 4.857 1.619
B 4.857 1.619 1.619
B 4.857 4.857 4.857
Pd 1.619 1.619 1.619
Pd 1.619 4.857 4.857
Pd 4.857 1.619 4.857
Pd 4.857 4.857 1.619
```


b:
This record from the Open Quantum Materials Database describes a relaxed LaBeBPd crystal. The functional is PBE-GGA.

total magnetic moment = 0.0 μB/f.u.

Structure (extended XYZ):
```
16
Lattice="6.321 0.000 0.000 0.000 6.321 0.000 0.000 0.000 6.321" Properties=species:S:1:pos:R:3 pbc="T T T"
La 0.000 0.000 0.000
La 0.000 3.161 3.161
La 3.161 0.000 3.161
La 3.161 3.161 0.000
Be 1.580 1.580 4.741
Be 1.580 4.741 1.580
Be 4.741 1.580 1.580
Be 4.741 4.741 4.741
B 1.580 1.580 1.580
B 1.580 4.741 4.741
B 4.741 1.580 4.741
B 4.741 4.741 1.580
Pd 0.000 0.000 3.161
Pd 0.000 3.161 0.000
Pd 3.161 0.000 0.000
Pd 3.161 3.161 3.161
```


Quick one: most stable of them? b


a:
This record from the Open Quantum Materials Database describes a relaxed LiBeZnB crystal. The functional is PBE-GGA.

Structure (extended XYZ):
```
16
Lattice="5.288 0.000 0.000 0.000 5.288 0.000 0.000 0.000 5.288" Properties=species:S:1:pos:R:3 pbc="T T T"
Li 0.000 0.000 0.000
Li 0.000 2.644 2.644
Li 2.644 0.000 2.644
Li 2.644 2.644 0.000
Be 1.322 1.322 3.966
Be 1.322 3.966 1.322
Be 3.966 1.322 1.322
Be 3.966 3.966 3.966
Zn 1.322 1.322 1.322
Zn 1.322 3.966 3.966
Zn 3.966 1.322 3.966
Zn 3.966 3.966 1.322
B 0.000 0.000 2.644
B 0.000 2.644 0.000
B 2.644 0.000 0.000
B 2.644 2.644 2.644
```


b:
This record from the Open Quantum Materials Database describes a relaxed LiBeZnB crystal. The functional is PBE-GGA.

Structure (extended XYZ):
```
16
Lattice="5.356 0.000 0.000 0.000 5.356 0.000 0.000 0.000 5.356" Properties=species:S:1:pos:R:3 pbc="T T T"
Li 0.000 0.000 0.000
Li 0.000 2.678 2.678
Li 2.678 0.000 2.678
Li 2.678 2.678 0.000
Be 1.339 1.339 1.339
Be 1.339 4.017 4.017
Be 4.017 1.339 4.017
Be 4.017 4.017 1.339
Zn 0.000 0.000 2.678
Zn 0.000 2.678 0.000
Zn 2.678 0.000 0.000
Zn 2.678 2.678 2.678
B 1.339 1.339 4.017
B 1.339 4.017 1.339
B 4.017 1.339 1.339
B 4.017 4.017 4.017
```


Quick one: most stable of them? a


a:
This record from the Open Quantum Materials Database describes a relaxed LuBeNiB crystal. The functional is PBE-GGA.

total magnetic moment = 0.0 μB/f.u.

Structure (extended XYZ):
```
16
Lattice="5.740 0.000 0.000 0.000 5.740 0.000 0.000 0.000 5.740" Properties=species:S:1:pos:R:3 pbc="T T T"
Lu 0.000 0.000 0.000
Lu 0.000 2.870 2.870
Lu 2.870 0.000 2.870
Lu 2.870 2.870 0.000
Be 1.435 1.435 4.305
Be 1.435 4.305 1.435
Be 4.305 1.435 1.435
Be 4.305 4.305 4.305
Ni 0.000 0.000 2.870
Ni 0.000 2.870 0.000
Ni 2.870 0.000 0.000
Ni 2.870 2.870 2.870
B 1.435 1.435 1.435
B 1.435 4.305 4.305
B 4.305 1.435 4.305
B 4.305 4.305 1.435
```


b:
This record from the Open Quantum Materials Database describes a relaxed LuBeNiB crystal. The functional is PBE-GGA.

total magnetic moment = 0.0 μB/f.u.

Structure (extended XYZ):
```
16
Lattice="6.481 0.000 0.000 0.000 6.481 0.000 0.000 0.000 6.481" Properties=species:S:1:pos:R:3 pbc="T T T"
Lu 0.000 0.000 0.000
Lu 0.000 3.240 3.240
Lu 3.240 0.000 3.240
Lu 3.240 3.240 0.000
Be 1.620 1.620 1.620
Be 1.620 4.860 4.860
Be 4.860 1.620 4.860
Be 4.860 4.860 1.620
Ni 1.620 1.620 4.860
Ni 1.620 4.860 1.620
Ni 4.860 1.620 1.620
Ni 4.860 4.860 4.860
B 0.000 0.000 3.240
B 0.000 3.240 0.000
B 3.240 0.000 0.000
B 3.240 3.240 3.240
```


Quick one: most stable of them? a


a:
This record from the Open Quantum Materials Database describes a relaxed LuBeBPt crystal. The functional is PBE-GGA.

total magnetic moment = 0.0 μB/f.u.

Structure (extended XYZ):
```
16
Lattice="6.065 0.000 0.000 0.000 6.065 0.000 0.000 0.000 6.065" Properties=species:S:1:pos:R:3 pbc="T T T"
Lu 0.000 0.000 0.000
Lu 0.000 3.032 3.032
Lu 3.032 0.000 3.032
Lu 3.032 3.032 0.000
Be 1.516 1.516 1.516
Be 1.516 4.549 4.549
Be 4.549 1.516 4.549
Be 4.549 4.549 1.516
B 0.000 0.000 3.032
B 0.000 3.032 0.000
B 3.032 0.000 0.000
B 3.032 3.032 3.032
Pt 1.516 1.516 4.549
Pt 1.516 4.549 1.516
Pt 4.549 1.516 1.516
Pt 4.549 4.549 4.549
```


b:
This record from the Open Quantum Materials Database describes a relaxed LuBeBPt crystal. The functional is PBE-GGA.

total magnetic moment = 0.0 μB/f.u.

Structure (extended XYZ):
```
16
Lattice="5.909 0.000 0.000 0.000 5.909 0.000 0.000 0.000 5.909" Properties=species:S:1:pos:R:3 pbc="T T T"
Lu 0.000 0.000 0.000
Lu 0.000 2.954 2.954
Lu 2.954 0.000 2.954
Lu 2.954 2.954 0.000
Be 1.477 1.477 1.477
Be 1.477 4.432 4.432
Be 4.432 1.477 4.432
Be 4.432 4.432 1.477
B 1.477 1.477 4.432
B 1.477 4.432 1.477
B 4.432 1.477 1.477
B 4.432 4.432 4.432
Pt 0.000 0.000 2.954
Pt 0.000 2.954 0.000
Pt 2.954 0.000 0.000
Pt 2.954 2.954 2.954
```


Quick one: most stable of them? b


a:
This record from the Open Quantum Materials Database describes a relaxed MgBeNiB crystal. The functional is PBE-GGA.

total magnetic moment = 0.0 μB/f.u.

Structure (extended XYZ):
```
16
Lattice="5.417 0.000 0.000 0.000 5.417 0.000 0.000 0.000 5.417" Properties=species:S:1:pos:R:3 pbc="T T T"
Mg 0.000 0.000 0.000
Mg 0.000 2.708 2.708
Mg 2.708 0.000 2.708
Mg 2.708 2.708 0.000
Be 1.354 1.354 1.354
Be 1.354 4.063 4.063
Be 4.063 1.354 4.063
Be 4.063 4.063 1.354
Ni 0.000 0.000 2.708
Ni 0.000 2.708 0.000
Ni 2.708 0.000 0.000
Ni 2.708 2.708 2.708
B 1.354 1.354 4.063
B 1.354 4.063 1.354
B 4.063 1.354 1.354
B 4.063 4.063 4.063
```


b:
This record from the Open Quantum Materials Database describes a relaxed MgBeNiB crystal. The functional is PBE-GGA.

total magnetic moment = 0.0 μB/f.u.

Structure (extended XYZ):
```
16
Lattice="5.457 0.000 0.000 0.000 5.457 0.000 0.000 0.000 5.457" Properties=species:S:1:pos:R:3 pbc="T T T"
Mg 0.000 0.000 0.000
Mg 0.000 2.728 2.728
Mg 2.728 0.000 2.728
Mg 2.728 2.728 0.000
Be 1.364 1.364 1.364
Be 1.364 4.092 4.092
Be 4.092 1.364 4.092
Be 4.092 4.092 1.364
Ni 1.364 1.364 4.092
Ni 1.364 4.092 1.364
Ni 4.092 1.364 1.364
Ni 4.092 4.092 4.092
B 0.000 0.000 2.728
B 0.000 2.728 0.000
B 2.728 0.000 0.000
B 2.728 2.728 2.728
```


c:
This record from the Open Quantum Materials Database describes a relaxed MgBeNiB crystal. The functional is PBE-GGA.

total magnetic moment = 0.0 μB/f.u.

Structure (extended XYZ):
```
16
Lattice="5.462 0.000 0.000 0.000 5.462 0.000 0.000 0.000 5.462" Properties=species:S:1:pos:R:3 pbc="T T T"
Mg 0.000 0.000 0.000
Mg 0.000 2.731 2.731
Mg 2.731 0.000 2.731
Mg 2.731 2.731 0.000
Be 0.000 0.000 2.731
Be 0.000 2.731 0.000
Be 2.731 0.000 0.000
Be 2.731 2.731 2.731
Ni 1.365 1.365 4.096
Ni 1.365 4.096 1.365
Ni 4.096 1.365 1.365
Ni 4.096 4.096 4.096
B 1.365 1.365 1.365
B 1.365 4.096 4.096
B 4.096 1.365 4.096
B 4.096 4.096 1.365
```


Quick one: most stable of them? a


a:
This record from the Open Quantum Materials Database describes a relaxed MgBeZnB crystal. The functional is PBE-GGA.

Structure (extended XYZ):
```
16
Lattice="5.791 0.000 0.000 0.000 5.791 0.000 0.000 0.000 5.791" Properties=species:S:1:pos:R:3 pbc="T T T"
Mg 0.000 0.000 0.000
Mg 0.000 2.895 2.895
Mg 2.895 0.000 2.895
Mg 2.895 2.895 0.000
Be 1.448 1.448 4.343
Be 1.448 4.343 1.448
Be 4.343 1.448 1.448
Be 4.343 4.343 4.343
Zn 1.448 1.448 1.448
Zn 1.448 4.343 4.343
Zn 4.343 1.448 4.343
Zn 4.343 4.343 1.448
B 0.000 0.000 2.895
B 0.000 2.895 0.000
B 2.895 0.000 0.000
B 2.895 2.895 2.895
```


b:
This record from the Open Quantum Materials Database describes a relaxed MgBeZnB crystal. The functional is PBE-GGA.

Structure (extended XYZ):
```
16
Lattice="5.764 0.000 0.000 0.000 5.764 0.000 0.000 0.000 5.764" Properties=species:S:1:pos:R:3 pbc="T T T"
Mg 0.000 0.000 0.000
Mg 0.000 2.882 2.882
Mg 2.882 0.000 2.882
Mg 2.882 2.882 0.000
Be 0.000 0.000 2.882
Be 0.000 2.882 0.000
Be 2.882 0.000 0.000
Be 2.882 2.882 2.882
Zn 1.441 1.441 4.323
Zn 1.441 4.323 1.441
Zn 4.323 1.441 1.441
Zn 4.323 4.323 4.323
B 1.441 1.441 1.441
B 1.441 4.323 4.323
B 4.323 1.441 4.323
B 4.323 4.323 1.441
```


c:
This record from the Open Quantum Materials Database describes a relaxed MgBeZnB crystal. The functional is PBE-GGA.

Structure (extended XYZ):
```
16
Lattice="5.736 0.000 0.000 0.000 5.736 0.000 0.000 0.000 5.736" Properties=species:S:1:pos:R:3 pbc="T T T"
Mg 0.000 0.000 0.000
Mg 0.000 2.868 2.868
Mg 2.868 0.000 2.868
Mg 2.868 2.868 0.000
Be 1.434 1.434 4.302
Be 1.434 4.302 1.434
Be 4.302 1.434 1.434
Be 4.302 4.302 4.302
Zn 0.000 0.000 2.868
Zn 0.000 2.868 0.000
Zn 2.868 0.000 0.000
Zn 2.868 2.868 2.868
B 1.434 1.434 1.434
B 1.434 4.302 4.302
B 4.302 1.434 4.302
B 4.302 4.302 1.434
```


Quick one: most stable of them? b